A plane-wave DFT calculation with PBE-GGA was carried out for a relaxed structure of Na2Ta2NiSe6.

Cell: 6.3532 6.3532 7.4937 Å, 96.83 96.83 120.20°
Last column: nearest neighbours and their distance in Å.
Fractional coordinates of all 11 atoms:
Na (0.1825, 0.8175, 0.0000)  6 Se 2.94-3.04
Na (0.8175, 0.1825, 0.0000)  6 Se 2.94-3.04
Ta (0.3630, 0.6370, 0.5000)  6 Se 2.55-2.75
Ta (0.6370, 0.3630, 0.5000)  6 Se 2.55-2.75
Ni (0.0000, 0.0000, 0.5000)  6 Se 2.55-2.69
Se (0.0450, 0.3842, 0.6928)  1 Ni 2.55, 2 Ta 2.59-2.75
Se (0.2585, 0.2585, 0.2627)  2 Ta 2.55, 1 Ni 2.69
Se (0.3842, 0.0450, 0.6928)  1 Ni 2.55, 2 Ta 2.59-2.75
Se (0.6158, 0.9550, 0.3073)  1 Ni 2.55, 2 Ta 2.59-2.75
Se (0.7415, 0.7415, 0.7373)  2 Ta 2.55, 1 Ni 2.69
Se (0.9550, 0.6158, 0.3073)  1 Ni 2.55, 2 Ta 2.59-2.75

**E**: -5.532 eV per atom
**Density of states at the Fermi level**: 0.14 states/eV per atom
**Formation energy (no corrections)**: -68.6 kJ per mole of atoms